Entry from Alexandria via LeMat-Bulk: KCoHF2 after structural relaxation (PBE+U).

Properties
DFT total energy: -0.17578 Ry per atom

Cell: 4.816 4.816 5.084 Å, 90.00 90.00 90.00°
Space group P4/mmm (No. 123)
Asymmetric unit:
K  0.000  0.000  0.000 (multiplicity 1)
Co  0.000  0.000  0.500 (multiplicity 1)
H  0.500  0.500  0.500 (multiplicity 1)
F  0.000  0.500  0.000 (multiplicity 2)